Entry 1:
An optimized crystal structure of RbYS2. Source: the Alexandria database, functional PBE-GGA.

SG: P3m1 (156)
DOS(E_F) (states/eV/f.u.): 0.0

Cell: 4.467 4.467 8.009 Å, 90.00 90.00 120.00°
Sites, in units of the cell vectors:
1 Rb 0.000 0.000 0.000
2 Y 0.333 0.667 0.475
3 S 0.333 0.667 0.776
4 S 0.667 0.333 0.353



Entry 2:
An optimized crystal structure of RbYS2. Source: the Alexandria database, functional PBE-GGA.

SG: P2_1/m (11)
DOS(E_F) (states/eV/f.u.): 0.0

Cell: 3.949 5.525 10.304 Å, 90.00 100.99 90.00°
Sites, in units of the cell vectors:
1 Rb 0.051 0.250 0.107
2 Rb 0.949 0.750 0.893
3 Y 0.192 0.750 0.382
4 Y 0.808 0.250 0.618
5 S 0.213 0.250 0.426
6 S 0.402 0.250 0.806
7 S 0.598 0.750 0.194
8 S 0.787 0.750 0.574



Entry 3:
An optimized crystal structure of RbYS2. Source: the Alexandria database, functional PBE-GGA.

SG: C2/c (15)
DOS(E_F) (states/eV/f.u.): 0.0

Cell: 8.369 8.369 15.978 Å, 97.44 97.44 90.00°
Sites, in units of the cell vectors:
1 Rb 0.155 0.782 0.623
2 Rb 0.218 0.845 0.877
3 Rb 0.219 0.345 0.882
4 Rb 0.345 0.219 0.382
5 Rb 0.655 0.781 0.618
6 Rb 0.781 0.655 0.118
7 Rb 0.782 0.155 0.123
8 Rb 0.845 0.218 0.377
9 Y 0.089 0.712 0.350
10 Y 0.288 0.414 0.151
11 Y 0.288 0.911 0.150
12 Y 0.414 0.288 0.651
13 Y 0.586 0.712 0.349
14 Y 0.712 0.089 0.850
15 Y 0.712 0.586 0.849
16 Y 0.911 0.288 0.650
17 S 0.063 0.437 0.250
18 S 0.063 0.937 0.250
19 S 0.138 0.263 0.554
20 S 0.263 0.138 0.054
21 S 0.263 0.638 0.051
22 S 0.362 0.737 0.449
23 S 0.437 0.063 0.750
24 S 0.437 0.563 0.750
25 S 0.563 0.437 0.250
26 S 0.563 0.937 0.250
27 S 0.638 0.263 0.551
28 S 0.737 0.362 0.949
29 S 0.737 0.862 0.946
30 S 0.862 0.737 0.446
31 S 0.937 0.063 0.750
32 S 0.937 0.563 0.750



Entry 4:
An optimized crystal structure of RbY2S. Source: the Alexandria database, functional PBE-GGA.

SG: I4_1/amd (141)
DOS(E_F) (states/eV/f.u.): 4.5

Cell: 9.249 9.249 9.249 Å, 134.51 134.51 66.29°
Sites, in units of the cell vectors:
1 Rb 0.375 0.625 0.750
2 Rb 0.625 0.375 0.250
3 Y 0.000 0.000 0.000
4 Y 0.000 0.000 0.500
5 Y 0.000 0.500 0.000
6 Y 0.500 0.000 0.500
7 S 0.125 0.875 0.250
8 S 0.875 0.125 0.750



Entry 5:
An optimized crystal structure of RbYS. Source: the Alexandria database, functional PBE-GGA.

SG: Cm (8)
DOS(E_F) (states/eV/f.u.): 1.7

Cell: 3.914 3.914 14.238 Å, 90.23 90.23 90.01°
Sites, in units of the cell vectors:
1 Rb 0.000 0.000 0.000
2 Rb 0.511 0.511 0.691
3 Y 0.004 0.004 0.429
4 Y 0.501 0.501 0.262
5 S 0.001 0.001 0.236
6 S 0.505 0.505 0.455



Entry 6:
An optimized crystal structure of RbYS2. Source: the Alexandria database, functional PBE-GGA.

SG: P4/mmm (123)
DOS(E_F) (states/eV/f.u.): 0.2

Cell: 5.095 5.095 3.629 Å, 90.00 90.00 90.00°
Sites, in units of the cell vectors:
1 Rb 0.000 0.000 0.000
2 Y 0.500 0.500 0.000
3 S 0.000 0.500 0.500
4 S 0.500 0.000 0.500



Entry 7:
An optimized crystal structure of RbYS4. Source: the Alexandria database, functional PBE-GGA.

SG: P4/nbm (125)

Cell: 5.970 5.970 8.326 Å, 90.00 90.00 90.00°
Sites, in units of the cell vectors:
1 Rb 0.250 0.250 0.000
2 Rb 0.750 0.750 0.000
3 Y 0.250 0.250 0.500
4 Y 0.750 0.750 0.500
5 S 0.125 0.625 0.304
6 S 0.125 0.875 0.696
7 S 0.375 0.625 0.696
8 S 0.375 0.875 0.304
9 S 0.625 0.125 0.696
10 S 0.625 0.375 0.304
11 S 0.875 0.125 0.304
12 S 0.875 0.375 0.696



Entry 8:
An optimized crystal structure of Rb3YS. Source: the Alexandria database, functional PBE-GGA.

SG: Pm-3m (221)
Energy above the lowest structure with this stoichiometry (eV per formula unit): 4.14
DOS(E_F) (states/eV/f.u.): 12.9

Cell: 6.944 6.944 6.944 Å, 90.00 90.00 90.00°
Sites, in units of the cell vectors:
1 Rb 0.000 0.000 0.500
2 Rb 0.000 0.500 0.000
3 Rb 0.500 0.000 0.000
4 Y 0.000 0.000 0.000
5 S 0.500 0.500 0.500



Entry 9:
An optimized crystal structure of RbYS2. Source: the Alexandria database, functional PBE-GGA.

SG: P4/mmm (123)
DOS(E_F) (states/eV/f.u.): 0.0

Cell: 4.288 4.288 5.816 Å, 90.00 90.00 90.00°
Sites, in units of the cell vectors:
1 Rb 0.000 0.000 0.000
2 Y 0.500 0.500 0.500
3 S 0.000 0.000 0.500
4 S 0.500 0.500 0.000



Entry 10:
An optimized crystal structure of RbYS2. Source: the Alexandria database, functional PBE-GGA.

SG: Cmcm (63)
DOS(E_F) (states/eV/f.u.): 0.0

Cell: 12.083 12.083 5.260 Å, 90.00 90.00 157.24°
Sites, in units of the cell vectors:
1 Rb 0.186 0.814 0.750
2 Rb 0.814 0.186 0.250
3 Y 0.433 0.567 0.750
4 Y 0.567 0.433 0.250
5 S 0.328 0.672 0.750
6 S 0.449 0.551 0.250
7 S 0.551 0.449 0.750
8 S 0.672 0.328 0.250



Entry 11:
An optimized crystal structure of RbYS2. Source: the Alexandria database, functional PBE-GGA.

SG: I4/mcm (140)
DOS(E_F) (states/eV/f.u.): 0.0

Cell: 6.875 6.875 6.875 Å, 106.39 106.39 115.83°
Sites, in units of the cell vectors:
1 Rb 0.250 0.250 0.000
2 Rb 0.750 0.750 0.000
3 Y 0.250 0.750 0.500
4 Y 0.750 0.250 0.500
5 S 0.163 0.663 0.827
6 S 0.337 0.163 0.500
7 S 0.663 0.837 0.500
8 S 0.837 0.337 0.173



Entry 12:
An optimized crystal structure of RbYS2. Source: the Alexandria database, functional PBE-GGA.

SG: Fm-3m (225)
DOS(E_F) (states/eV/f.u.): 0.0

Cell: 5.088 5.088 5.088 Å, 60.00 60.00 60.00°
Sites, in units of the cell vectors:
1 Rb 0.000 0.000 0.000
2 Y 0.500 0.500 0.500
3 S 0.250 0.250 0.250
4 S 0.750 0.750 0.750



| no. | total DFT energy (no corrections) (eV/cell) | ρ (g cm⁻³) |
| --- | --- | --- |
| 1 | -21.7 | 2.86 |
| 2 | -45.7 | 3.59 |
| 3 | -179.2 | 2.88 |
| 4 | -37.8 | 2.48 |
| 5 | -30.1 | 3.14 |
| 6 | -20.2 | 4.20 |
| 7 | -62.4 | 3.39 |
| 8 | -9.1 | 1.87 |
| 9 | -21.0 | 3.70 |
| 10 | -42.3 | 2.67 |
| 11 | -44.3 | 3.20 |
| 12 | -20.7 | 4.25 |